{
  "formula": "CoAg2Se",
  "functional": "meta-GGA SCAN",
  "state": "single point on PBEsol structure",
  "lattice": [[-1.375, -1.484, -2.147], [-0.327, -3.484, 2.618], [-3.725, 4.215, 1.497]],
  "species": ["Ag", "Ag", "Co", "Se"],
  "fractional_positions": [[0.981, 0.981, 0.963], [0.808, 0.308, 0.616], [0.524, 0.524, 0.049], [0.186, 0.686, 0.372]],
  "e_form_raw_ev_per_atom": 0.241,
  "total_energy_ev_per_atom": -24.7886,
  "n_ef_per_ev_fu": 1.60,
  "rho_g_cm3": 8.8
}

{
  "formula": "CoAgSn3",
  "functional": "meta-GGA SCAN",
  "state": "single point on PBEsol structure",
  "lattice": [[-2.475, 0.128, 4.150], [3.982, -1.293, 2.415], [1.174, 4.655, 0.556]],
  "species": ["Co", "Sn", "Sn", "Sn", "Ag"],
  "fractional_positions": [[0.000, 0.000, 0.000], [0.000, 0.500, 0.000], [0.000, 0.000, 0.500], [0.500, 0.000, 0.000], [0.500, 0.500, 0.500]],
  "total_energy_ev_per_atom": -30.9685,
  "e_form_ev_per_atom": 0.32,
  "n_ef_per_ev_fu": 2.94,
  "rho_g_cm3": 7.7
}

{
  "formula": "CoAg3Sn",
  "functional": "meta-GGA SCAN",
  "state": "single point on PBEsol structure",
  "lattice": [[-2.094, -0.892, 4.477], [-2.152, -4.151, -1.833], [4.026, -2.682, 1.349]],
  "species": ["Co", "Sn", "Ag", "Ag", "Ag"],
  "fractional_positions": [[0.500, 0.500, 0.500], [0.000, 0.000, 0.000], [0.000, 0.500, 0.000], [0.000, 0.000, 0.500], [0.500, 0.000, 0.000]],
  "total_energy_ev_per_atom": -28.2933,
  "e_form_ev_per_atom": 1.17,
  "n_ef_per_ev_fu": 3.76,
  "rho_g_cm3": 6.6
}

{
  "formula": "Sr2CoAg",
  "functional": "meta-GGA SCAN",
  "state": "single point on PBEsol structure",
  "lattice": [[-0.128, 2.174, -3.182], [2.382, -3.382, -2.406], [-6.071, -1.834, 1.327]],
  "species": ["Ag", "Co", "Sr", "Sr"],
  "fractional_positions": [[0.555, 0.555, 0.111], [0.201, 0.701, 0.401], [0.982, 0.982, 0.963], [0.762, 0.262, 0.525]],
  "total_energy_ev_per_atom": -23.1203,
  "e_form_ev_per_atom": 0.19,
  "n_ef_per_ev_fu": 2.52,
  "rho_g_cm3": 5.4
}

{
  "formula": "SrCoAg2",
  "functional": "meta-GGA SCAN",
  "state": "single point on PBEsol structure",
  "lattice": [[-1.887, 1.336, 2.074], [-0.259, -3.892, 2.271], [5.302, 0.848, 2.057]],
  "species": ["Ag", "Ag", "Co", "Sr"],
  "fractional_positions": [[0.667, 0.000, 0.795], [0.333, 0.000, 0.205], [0.500, 0.500, 0.000], [0.000, 0.500, 0.500]],
  "total_energy_ev_per_atom": -25.2831,
  "de_polymorph_kj_per_mol_fu": 16,
  "e_form_ev_per_atom": 0.30,
  "n_ef_per_ev_fu": 1.75,
  "rho_g_cm3": 7.7
}

{
  "formula": "SrCo2Ag",
  "functional": "meta-GGA SCAN",
  "state": "single point on PBEsol structure",
  "lattice": [[4.063, 0.000, 0.000], [2.031, 3.518, 0.000], [2.031, 1.173, 5.491]],
  "species": ["Sr", "Co", "Co", "Ag"],
  "fractional_positions": [[0.511, 0.511, 0.467], [0.982, 0.982, 0.055], [0.312, 0.312, 0.065], [0.709, 0.709, 0.873]],
  "total_energy_ev_per_atom": -21.8143,
  "e_form_ev_per_atom": 0.25,
  "n_ef_per_ev_fu": 2.04,
  "rho_g_cm3": 6.6
}

What is the formula in the first record? CoAg2Se

What is the formula in the fifth record? SrCoAg2